{
  "formula": "PaTl3V2O9",
  "functional": "PBE with a Hubbard U",
  "state": "relaxed",
  "dft_energy_ev_per_atom": -6.865,
  "magmom_total_mub_per_cell": 0.00,
  "cell": [[5.744, 0.000, 0.000], [-2.872, 4.974, 0.000], [0.000, 0.000, 7.082]],
  "species": ["Pa", "Tl", "Tl", "Tl", "V", "V", "O", "O", "O", "O", "O", "O", "O", "O", "O"],
  "frac_coords": [[0.000, 0.000, 0.000], [0.000, 0.000, 0.500], [0.333, 0.667, 0.180], [0.667, 0.333, 0.820], [0.333, 0.667, 0.655], [0.667, 0.333, 0.345], [0.000, 0.500, 0.500], [0.178, 0.357, 0.814], [0.178, 0.822, 0.814], [0.357, 0.178, 0.186], [0.500, 0.000, 0.500], [0.500, 0.500, 0.500], [0.643, 0.822, 0.814], [0.822, 0.178, 0.186], [0.822, 0.643, 0.186]]
}